This record from the Alexandria database describes crystalline PaPdPt at its relaxed geometry. The functional is PBE.

## Properties
**N(E_F)**: 1.5551 states/eV per atom
**Formation energy from the elements**: -0.702 eV per atom
**E_tot**: -7.612 eV/atom
**Total magnetization**: 0.00 μB/atom
**Distance to the lowest polymorph of the same formula**: 12 meV/atom

abc: 3.2125 4.6039 4.6039
angles: 120.00 90.00 90.00
Element x y z (fractional)
Pd 0.1673 0.6667 0.3333
Pa 0.6666 0.3333 0.6667
Pt 0.1661 0.0000 0.0000